[1]
A relaxed structure of SrAgCl2, computed with GGA-PBE.

Cell: 10.175 10.175 10.175 Å, 24.04 24.04 24.04°
Fractional positions:
Cl 0.115 0.115 0.115
Cl 0.885 0.885 0.885
Ag 0.000 0.000 0.000
Sr 0.500 0.500 0.500

Values from the calculation:
The value obtained for the spin magnetization is 0.00 μB/f.u. The value obtained for the excess energy over the best structure of this formula in the dataset is 0.00 eV/f.u. Its space group is R-3m (166). Its total energy is -13.53 eV/cell.



[2]
A relaxed structure of Rb3ZnBi2, computed with GGA-PBE.

Cell: 9.617 7.501 9.781 Å, 112.55 119.45 90.00°
Fractional positions:
Bi 0.902 0.585 0.169
Bi 0.733 0.915 0.831
Bi 0.267 0.085 0.169
Bi 0.098 0.415 0.831
Rb 0.351 0.677 0.354
Rb 0.500 0.750 0.000
Rb 0.997 0.823 0.646
Rb 0.500 0.250 0.000
Rb 0.649 0.323 0.646
Rb 0.003 0.177 0.354
Zn 0.000 0.750 0.000
Zn 0.000 0.250 0.000

Values from the calculation:
The value obtained for the spin magnetization is 0.00 μB/f.u. The value obtained for the excess energy over the best structure of this formula in the dataset is 0.00 eV/f.u. Its space group is Ibam (72). Its total energy is -26.67 eV/cell.



[3]
A relaxed structure of Zn2OsSe, computed with GGA-PBE.

Cell: 3.256 4.505 4.231 Å, 90.00 90.00 90.00°
Fractional positions:
Se 0.000 0.500 0.500
Zn 0.500 0.500 0.000
Zn 0.000 0.000 0.000
Os 0.500 0.000 0.500

Values from the calculation:
The value obtained for the spin magnetization is 0.00 μB/f.u. Its space group is Pmmm (47). Its total energy is -15.47 eV/cell.



[4]
A relaxed structure of BaAlMo, computed with GGA-PBE.

Cell: 5.278 5.278 5.278 Å, 60.00 60.00 60.00°
Fractional positions:
Al 0.500 0.500 0.500
Mo 0.000 0.000 0.000
Ba 0.750 0.750 0.750

Values from the calculation:
The value obtained for the spin magnetization is 3.28 μB/f.u. The value obtained for the excess energy over the best structure of this formula in the dataset is 3.64 eV/f.u. Its space group is F-43m (216). Its total energy is -11.42 eV/cell.